Entry 1:
HgRuSeBr2 | GGA-PBE | optimized geometry

Unit cell a=5.280 b=5.280 c=4.681 alpha=90.00 beta=90.00 gamma=90.00
Atoms (fractional coordinates):
Hg 0.000 0.000 0.000
Ru 0.500 0.500 0.500
Se 0.500 0.500 0.000
Br 0.000 0.500 0.500
Br 0.500 0.000 0.500

## Properties
As for the energy relative to the lowest polymorph listed for this composition: 0 meV/atom. Its density of states at the Fermi level is 0.6773 states/eV/atom. The value obtained for the uncorrected formation energy is 0.13 eV/atom. For the electronic total energy, the calculation gives -15.782 eV per formula unit.

***

Entry 2:
HgRu2SeBr | GGA-PBE | optimized geometry

Unit cell a=4.630 b=4.630 c=5.424 alpha=90.00 beta=90.00 gamma=90.00
Atoms (fractional coordinates):
Hg 0.000 0.000 0.000
Ru 0.000 0.500 0.500
Ru 0.500 0.000 0.500
Se 0.500 0.500 0.000
Br 0.500 0.500 0.500

## Properties
Its density of states at the Fermi level is 1.2459 states/eV/atom. The value obtained for the uncorrected formation energy is 1.46 eV/atom. For the electronic total energy, the calculation gives -16.720 eV per formula unit.

***

Entry 3:
TaHgRu2Br | GGA-PBE | optimized geometry

Unit cell a=4.483 b=4.483 c=5.264 alpha=90.00 beta=90.00 gamma=90.00
Atoms (fractional coordinates):
Ta 0.000 0.000 0.000
Hg 0.500 0.500 0.000
Ru 0.000 0.500 0.500
Ru 0.500 0.000 0.500
Br 0.500 0.500 0.500

## Properties
Its density of states at the Fermi level is 1.6591 states/eV/atom. The value obtained for the uncorrected formation energy is 1.83 eV/atom. For the electronic total energy, the calculation gives -23.223 eV per formula unit.

***

Entry 4:
Hg4S2Br3 | GGA-PBE | optimized geometry

Unit cell a=8.746 b=8.746 c=7.710 alpha=93.57 beta=93.57 gamma=96.23
Atoms (fractional coordinates):
Hg 0.161 0.678 0.000
Hg 0.258 0.260 0.847
Hg 0.260 0.258 0.347
Hg 0.322 0.839 0.500
Hg 0.678 0.161 0.500
Hg 0.740 0.742 0.653
Hg 0.742 0.740 0.153
Hg 0.839 0.322 0.000
S 0.144 0.386 0.100
S 0.386 0.144 0.600
S 0.614 0.856 0.400
S 0.856 0.614 0.900
Br 0.026 0.733 0.422
Br 0.267 0.974 0.078
Br 0.383 0.617 0.750
Br 0.617 0.383 0.250
Br 0.733 0.026 0.922
Br 0.974 0.267 0.578

## Properties
Its density of states at the Fermi level is 0.3030 states/eV/atom. The value obtained for the uncorrected formation energy is -0.21 eV/atom. For the electronic total energy, the calculation gives -16.397 eV per formula unit.

***

Entry 5:
Hg2SBr | GGA-PBE | optimized geometry

Unit cell a=7.282 b=7.587 c=8.420 alpha=94.30 beta=94.39 gamma=114.57
Atoms (fractional coordinates):
Hg 0.000 0.000 0.000
Hg 0.019 0.873 0.538
Hg 0.068 0.519 0.976
Hg 0.464 0.067 0.267
Hg 0.579 0.101 0.749
Hg 0.675 0.535 0.557
S 0.097 0.790 0.160
S 0.374 0.179 0.539
S 0.967 0.212 0.807
Br 0.472 0.733 0.825
Br 0.501 0.307 0.028
Br 0.849 0.112 0.301

## Properties
As for the energy relative to the lowest polymorph listed for this composition: 26 meV/atom. Its density of states at the Fermi level is 0.1153 states/eV/atom. The value obtained for the uncorrected formation energy is -0.20 eV/atom. For the electronic total energy, the calculation gives -7.203 eV per formula unit.

***

Entry 6:
HgS4Br2 | GGA-PBE | optimized geometry

Unit cell a=5.389 b=5.389 c=8.827 alpha=105.55 beta=105.55 gamma=95.04
Atoms (fractional coordinates):
Hg 0.000 0.000 0.000
S 0.278 0.278 0.494
S 0.298 0.678 0.499
S 0.678 0.298 0.499
S 0.698 0.698 0.503
Br 0.305 0.695 0.000
Br 0.695 0.305 0.000

## Properties
Its density of states at the Fermi level is 0.7483 states/eV/atom. The value obtained for the uncorrected formation energy is 0.10 eV/atom. For the electronic total energy, the calculation gives -19.434 eV per formula unit.

***

| no. | M_tot (Bohr magnetons per cell) |
| --- | --- |
| 1 | 0.0 |
| 2 | 2.8 |
| 3 | 0.0 |
| 4 | 0.0 |
| 5 | 0.0 |
| 6 | 0.7 |